Compound: LiMgPt3
Source: Alexandria via LeMat-Bulk
Functional: meta-GGA SCAN
Structure: single point on PBEsol structure

Properties
Electronic total energy   -43.633 eV/atom
ΔE_f   -0.04 eV/atom
Symmetry   No. 221

POSCAR file:
```
LiMgPt3
1.0
4.2051 0.0000 0.0000
0.0000 4.2051 0.0000
0.0000 0.0000 4.2051
Mg Pt Li
1 3 1
Direct
0.5000 0.5000 0.5000
0.0000 0.5000 0.0000
0.0000 0.0000 0.5000
0.5000 0.0000 0.0000
0.0000 0.0000 0.0000
```